<A>
La2SbAu3 | GGA-PBE | optimized geometry

Theoretical density: 10.72 g/cm³

CIF file:
```
data_La2SbAu3
_space_group_name_H-M_alt 'F m m m'
_space_group_IT_number 69
_space_group_name_Hall '-F 2 2'
_cell_length_a 7.6247
_cell_length_b 9.6961
_cell_length_c 16.6051
_cell_angle_alpha 90.00
_cell_angle_beta 90.00
_cell_angle_gamma 90.00
loop_
_atom_site_label
_atom_site_type_symbol
_atom_site_fract_x
_atom_site_fract_y
_atom_site_fract_z
La1 La 0.2354 0.0000 0.0000
La2 La 0.2500 0.2500 0.2500
Sb1 Sb 0.0000 0.0000 0.3347
Au1 Au 0.0000 0.0000 0.1653
Au2 Au 0.0000 0.2499 0.0833
```

***

<B>
La2SbAu3 | GGA-PBE | optimized geometry

Theoretical density: 10.68 g/cm³

CIF file:
```
data_La2SbAu3
_space_group_name_H-M_alt 'P m m 2'
_space_group_IT_number 25
_cell_length_a 3.8377
_cell_length_b 4.7291
_cell_length_c 8.4846
_cell_angle_alpha 90.00
_cell_angle_beta 90.00
_cell_angle_gamma 90.00
loop_
_space_group_symop_operation_xyz
'x,y,z'
'-x,-y,z'
'-x,y,z'
'x,-y,z'
loop_
_atom_site_label
_atom_site_type_symbol
_atom_site_fract_x
_atom_site_fract_y
_atom_site_fract_z
La1 La 0.0000 0.0000 0.0000
La2 La 0.0000 0.5000 0.4696
Sb1 Sb 0.5000 0.5000 0.8172
Au1 Au 0.5000 0.0000 0.3187
Au2 Au 0.5000 0.0000 0.6442
Au3 Au 0.5000 0.5000 0.1502
```

***

List of relative energies, unit kJ/mol of atoms: <A> 0.0; <B> 3.1

***

<A>
La2ScAu | GGA-PBE | optimized geometry

Theoretical density: 8.14 g/cm³

CIF file:
```
data_La2ScAu
_space_group_name_H-M_alt 'P m m m'
_space_group_IT_number 47
_cell_length_a 3.6815
_cell_length_b 5.3317
_cell_length_c 5.4031
_cell_angle_alpha 90.00
_cell_angle_beta 90.00
_cell_angle_gamma 90.00
loop_
_space_group_symop_operation_xyz
'x,y,z'
'-x,-y,-z'
'-x,-y,z'
'x,y,-z'
'x,-y,-z'
'-x,y,z'
'-x,y,-z'
'x,-y,z'
loop_
_atom_site_label
_atom_site_type_symbol
_atom_site_fract_x
_atom_site_fract_y
_atom_site_fract_z
La1 La 0.0000 0.0000 0.0000
La2 La 0.5000 0.5000 0.0000
Sc1 Sc 0.0000 0.5000 0.5000
Au1 Au 0.5000 0.0000 0.5000
```

***

<B>
La2ScAu | GGA-PBE | optimized geometry

Theoretical density: 7.63 g/cm³

CIF file:
```
data_La2ScAu
_space_group_name_H-M_alt 'P 4 m m'
_space_group_IT_number 99
_cell_length_a 3.5936
_cell_length_b 3.5936
_cell_length_c 8.7623
_cell_angle_alpha 90.00
_cell_angle_beta 90.00
_cell_angle_gamma 90.00
loop_
_space_group_symop_operation_xyz
'x,y,z'
'-y,x,z'
'-x,-y,z'
'y,-x,z'
'-x,y,z'
'y,x,z'
'x,-y,z'
'-y,-x,z'
loop_
_atom_site_label
_atom_site_type_symbol
_atom_site_fract_x
_atom_site_fract_y
_atom_site_fract_z
La1 La 0.0000 0.0000 0.0000
La2 La 0.5000 0.5000 0.3196
Sc1 Sc 0.0000 0.0000 0.6017
Au1 Au 0.5000 0.5000 0.7552
```

***

List of relative energies, unit kJ/mol of atoms: <A> 18.3; <B> 0.0

***

<A>
La2ScAu | GGA-PBE | optimized geometry

Theoretical density: 7.64 g/cm³

CIF file:
```
data_La2ScAu
_space_group_name_H-M_alt 'F m -3 m'
_space_group_IT_number 225
_space_group_name_Hall '-F 4 2 3'
_cell_length_a 7.6722
_cell_length_b 7.6722
_cell_length_c 7.6722
_cell_angle_alpha 90.00
_cell_angle_beta 90.00
_cell_angle_gamma 90.00
loop_
_atom_site_label
_atom_site_type_symbol
_atom_site_fract_x
_atom_site_fract_y
_atom_site_fract_z
La1 La 0.2500 0.2500 0.2500
Sc1 Sc 0.0000 0.0000 0.0000
Au1 Au 0.0000 0.0000 0.5000
```

***

<B>
La2ScAu | GGA-PBE | optimized geometry

Theoretical density: 7.43 g/cm³

CIF file:
```
data_La2ScAu
_space_group_name_H-M_alt 'P 4/m m m'
_space_group_IT_number 123
_space_group_name_Hall '-P 4 2'
_cell_length_a 3.8686
_cell_length_b 3.8686
_cell_length_c 7.7578
_cell_angle_alpha 90.00
_cell_angle_beta 90.00
_cell_angle_gamma 90.00
loop_
_atom_site_label
_atom_site_type_symbol
_atom_site_fract_x
_atom_site_fract_y
_atom_site_fract_z
La1 La 0.0000 0.0000 0.2288
Sc1 Sc 0.5000 0.5000 0.5000
Au1 Au 0.5000 0.5000 0.0000
```

***

List of relative energies, unit kJ/mol of atoms: <A> 14.7; <B> 0.0

***

<A>
La2ScAu | GGA-PBE | optimized geometry

Theoretical density: 7.14 g/cm³

CIF file:
```
data_La2ScAu
_space_group_name_H-M_alt 'R 3 m'
_space_group_IT_number 160
_space_group_name_Hall 'R 3 -2"'
_cell_length_a 3.7267
_cell_length_b 3.7267
_cell_length_c 30.1693
_cell_angle_alpha 90.00
_cell_angle_beta 90.00
_cell_angle_gamma 120.00
loop_
_atom_site_label
_atom_site_type_symbol
_atom_site_fract_x
_atom_site_fract_y
_atom_site_fract_z
La1 La 0.0000 0.0000 0.0000
La2 La 0.0000 0.0000 0.1812
Sc1 Sc 0.0000 0.0000 0.7584
Au1 Au 0.0000 0.0000 0.5900
```

***

<B>
La2ScAu | GGA-PBE | optimized geometry

Theoretical density: 7.52 g/cm³

CIF file:
```
data_La2ScAu
_space_group_name_H-M_alt 'C 1 m 1'
_space_group_IT_number 8
_cell_length_a 12.6274
_cell_length_b 3.6972
_cell_length_c 5.4472
_cell_angle_alpha 90.00
_cell_angle_beta 115.50
_cell_angle_gamma 90.00
loop_
_space_group_symop_operation_xyz
'x,y,z'
'x,-y,z'
'x+1/2,y+1/2,z'
'x+1/2,-y+1/2,z'
loop_
_atom_site_label
_atom_site_type_symbol
_atom_site_fract_x
_atom_site_fract_y
_atom_site_fract_z
La1 La 0.0000 0.0000 0.0000
La2 La 0.2109 0.0000 0.7125
Sc1 Sc 0.4233 0.0000 0.4235
Au1 Au 0.2410 0.5000 0.2435
```

***

List of relative energies, unit kJ/mol of atoms: <A> 17.7; <B> 0.0

***

<A>
La2ScAu | GGA-PBE | optimized geometry

Theoretical density: 8.01 g/cm³

CIF file:
```
data_La2ScAu
_space_group_name_H-M_alt 'I 4/m m m'
_space_group_IT_number 139
_space_group_name_Hall '-I 4 2'
_cell_length_a 4.7181
_cell_length_b 4.7181
_cell_length_c 9.6801
_cell_angle_alpha 90.00
_cell_angle_beta 90.00
_cell_angle_gamma 90.00
loop_
_atom_site_label
_atom_site_type_symbol
_atom_site_fract_x
_atom_site_fract_y
_atom_site_fract_z
La1 La 0.0000 0.5000 0.2500
Sc1 Sc 0.0000 0.0000 0.0000
Au1 Au 0.0000 0.0000 0.5000
```

***

<B>
La2ScAu | GGA-PBE | optimized geometry

Theoretical density: 7.73 g/cm³

CIF file:
```
data_La2ScAu
_space_group_name_H-M_alt 'I m m m'
_space_group_IT_number 71
_space_group_name_Hall '-I 2 2'
_cell_length_a 3.9199
_cell_length_b 5.3085
_cell_length_c 10.7353
_cell_angle_alpha 90.00
_cell_angle_beta 90.00
_cell_angle_gamma 90.00
loop_
_atom_site_label
_atom_site_type_symbol
_atom_site_fract_x
_atom_site_fract_y
_atom_site_fract_z
La1 La 0.0000 0.0000 0.2236
Sc1 Sc 0.0000 0.5000 0.0000
Au1 Au 0.0000 0.5000 0.5000
```

***

List of relative energies, unit kJ/mol of atoms: <A> 1.7; <B> 0.0

***

<A>
La2ScAu | GGA-PBE | optimized geometry

Theoretical density: 7.91 g/cm³

CIF file:
```
data_La2ScAu
_space_group_name_H-M_alt 'I -4 m 2'
_space_group_IT_number 119
_space_group_name_Hall 'I -4 -2'
_cell_length_a 4.5887
_cell_length_b 4.5887
_cell_length_c 10.3699
_cell_angle_alpha 90.00
_cell_angle_beta 90.00
_cell_angle_gamma 90.00
loop_
_atom_site_label
_atom_site_type_symbol
_atom_site_fract_x
_atom_site_fract_y
_atom_site_fract_z
La1 La 0.0000 0.0000 0.0000
La2 La 0.0000 0.5000 0.2500
Sc1 Sc 0.0000 0.5000 0.7500
Au1 Au 0.0000 0.0000 0.5000
```

***

<B>
La2ScAu | GGA-PBE | optimized geometry

Theoretical density: 7.15 g/cm³

CIF file:
```
data_La2ScAu
_space_group_name_H-M_alt 'R 3 m'
_space_group_IT_number 160
_space_group_name_Hall 'R 3 -2"'
_cell_length_a 3.7651
_cell_length_b 3.7651
_cell_length_c 29.4910
_cell_angle_alpha 90.00
_cell_angle_beta 90.00
_cell_angle_gamma 120.00
loop_
_atom_site_label
_atom_site_type_symbol
_atom_site_fract_x
_atom_site_fract_y
_atom_site_fract_z
La1 La 0.0000 0.0000 0.0000
La2 La 0.0000 0.0000 0.2331
Sc1 Sc 0.0000 0.0000 0.7646
Au1 Au 0.0000 0.0000 0.4883
```

***

<C>
La2ScAu | GGA-PBE | optimized geometry

Theoretical density: 7.47 g/cm³

CIF file:
```
data_La2ScAu
_space_group_name_H-M_alt 'P 1 m 1'
_space_group_IT_number 6
_cell_length_a 3.8022
_cell_length_b 4.9504
_cell_length_c 6.4206
_cell_angle_alpha 90.00
_cell_angle_beta 107.14
_cell_angle_gamma 90.00
loop_
_space_group_symop_operation_xyz
'x,y,z'
'x,-y,z'
loop_
_atom_site_label
_atom_site_type_symbol
_atom_site_fract_x
_atom_site_fract_y
_atom_site_fract_z
La1 La 0.0000 0.0000 0.0000
La2 La 0.3139 0.5000 0.6279
Sc1 Sc 0.5939 0.5000 0.1895
Au1 Au 0.7205 0.0000 0.4428
```

***

<D>
La2ScAu | GGA-PBE | optimized geometry

Theoretical density: 8.27 g/cm³

CIF file:
```
data_La2ScAu
_space_group_name_H-M_alt 'F -4 3 m'
_space_group_IT_number 216
_space_group_name_Hall 'F -4 2 3'
_cell_length_a 7.4732
_cell_length_b 7.4732
_cell_length_c 7.4732
_cell_angle_alpha 90.00
_cell_angle_beta 90.00
_cell_angle_gamma 90.00
loop_
_atom_site_label
_atom_site_type_symbol
_atom_site_fract_x
_atom_site_fract_y
_atom_site_fract_z
La1 La 0.0000 0.0000 0.0000
La2 La 0.2500 0.2500 0.2500
Sc1 Sc 0.2500 0.2500 0.7500
Au1 Au 0.0000 0.0000 0.5000
```

***

List of relative energies, unit kJ/mol of atoms: <A> 11.3; <B> 8.7; <C> 0.0; <D> 14.4